A plane-wave DFT calculation with PBE was carried out for AcSm3 after structural relaxation.

Summary:
space group	P2_1/m, No. 11
energy	-4.440	eV per atom

a = 6.8948 Å, b = 3.6257 Å, c = 11.8003 Å
α = 90.00°, β = 91.80°, γ = 90.00°
Closest atoms and distances in Å follow each position.
Positions (direct):
Ac 0.1127 0.2500 0.1270  7 Sm 3.57-3.92, 4 Ac 3.63-3.79
Ac 0.8873 0.7500 0.8730  7 Sm 3.57-3.92, 4 Ac 3.63-3.79
Sm 0.1376 0.7500 0.6111  8 Sm 3.36-3.67, 1 Ac 3.59
Sm 0.3753 0.2500 0.3928  8 Sm 3.36-3.63, 1 Ac 3.57
Sm 0.3902 0.2500 0.8591  8 Sm 3.63-4.04, 5 Ac 3.75-3.92
Sm 0.6098 0.7500 0.1409  8 Sm 3.63-4.04, 5 Ac 3.75-3.92
Sm 0.6247 0.7500 0.6072  8 Sm 3.36-3.63, 1 Ac 3.57
Sm 0.8624 0.2500 0.3889  8 Sm 3.36-3.67, 1 Ac 3.59

A plane-wave DFT calculation with PBE was carried out for MnBeSe after structural relaxation.

Summary:
space group	F-43m, No. 216
energy	-5.073	eV per atom
E_form (uncorrected)	0.39	eV/atom
ΔE to the lowest computed polymorph	6.47	kcal/mol of atoms

a = 4.0056 Å, b = 4.0056 Å, c = 4.0056 Å
α = 60.00°, β = 60.00°, γ = 60.00°
Closest atoms and distances in Å follow each position.
Positions (direct):
Mn 0.0000 0.0000 0.0000  4 Be 2.45
Be 0.7500 0.7500 0.7500  4 Se 2.45, 4 Mn 2.45
Se 0.5000 0.5000 0.5000  4 Be 2.45

A plane-wave DFT calculation with PBE was carried out for YGaGe2 after structural relaxation.

Summary:
space group	R-3m, No. 166
energy	-4.966	eV per atom

a = 5.4869 Å, b = 5.4869 Å, c = 5.4869 Å
α = 48.52°, β = 48.52°, γ = 48.52°
Closest atoms and distances in Å follow each position.
Positions (direct):
Y 0.0000 0.0000 0.0000  8 Ge 3.10-3.14
Ga 0.5000 0.5000 0.5000  6 Ge 2.70
Ge 0.2165 0.2165 0.2165  3 Ga 2.70, 3 Ge 2.98
Ge 0.7835 0.7835 0.7835  3 Ga 2.70, 3 Ge 2.98

A plane-wave DFT calculation with PBE was carried out for Pm6Y12In after structural relaxation.

Summary:
space group	R-3, No. 148
energy	-5.670	eV per atom
ΔE to the lowest computed polymorph	0.00	kcal/mol of atoms

a = 8.5467 Å, b = 8.5467 Å, c = 8.5467 Å
α = 88.97°, β = 88.97°, γ = 88.97°
Closest atoms and distances in Å follow each position.
Positions (direct):
Pm 0.2004 0.7599 0.5930  7 Y 3.35-3.68, 1 In 3.45, 2 Pm 3.48
Pm 0.2401 0.4070 0.7996  7 Y 3.35-3.68, 1 In 3.45, 2 Pm 3.48
Pm 0.4070 0.7996 0.2401  7 Y 3.35-3.68, 1 In 3.45, 2 Pm 3.48
Pm 0.5930 0.2004 0.7599  7 Y 3.35-3.68, 1 In 3.45, 2 Pm 3.48
Pm 0.7599 0.5930 0.2004  7 Y 3.35-3.68, 1 In 3.45, 2 Pm 3.48
Pm 0.7996 0.2401 0.4070  7 Y 3.35-3.68, 1 In 3.45, 2 Pm 3.48
Y 0.0385 0.9359 0.2796  6 Y 3.31-3.67, 3 Pm 3.35-3.46
Y 0.0641 0.7204 0.9615  6 Y 3.31-3.67, 3 Pm 3.35-3.46
Y 0.1398 0.4859 0.3163  4 Pm 3.41-3.68, 1 In 3.49, 4 Y 3.49-3.67
Y 0.2796 0.0385 0.9359  6 Y 3.31-3.67, 3 Pm 3.35-3.46
Y 0.3163 0.1398 0.4859  4 Pm 3.41-3.68, 1 In 3.49, 4 Y 3.49-3.67
Y 0.4859 0.3163 0.1398  4 Pm 3.41-3.68, 1 In 3.49, 4 Y 3.49-3.67
Y 0.5141 0.6837 0.8602  4 Pm 3.41-3.68, 1 In 3.49, 4 Y 3.49-3.67
Y 0.6837 0.8602 0.5141  4 Pm 3.41-3.68, 1 In 3.49, 4 Y 3.49-3.67
Y 0.7204 0.9615 0.0641  6 Y 3.31-3.67, 3 Pm 3.35-3.46
Y 0.8602 0.5141 0.6837  4 Pm 3.41-3.68, 1 In 3.49, 4 Y 3.49-3.67
Y 0.9359 0.2796 0.0385  6 Y 3.31-3.67, 3 Pm 3.35-3.46
Y 0.9615 0.0641 0.7204  6 Y 3.31-3.67, 3 Pm 3.35-3.46
In 0.5000 0.5000 0.5000  6 Pm 3.45, 6 Y 3.49

A plane-wave DFT calculation with PBE was carried out for LaHf3B after structural relaxation.

Summary:
space group	Pm-3m, No. 221
energy	-5.829	eV per atom
ΔE to the lowest computed polymorph	54.90	kcal/mol of atoms

a = 5.1051 Å, b = 5.1051 Å, c = 5.1051 Å
α = 90.00°, β = 90.00°, γ = 90.00°
Closest atoms and distances in Å follow each position.
Positions (direct):
La 0.0000 0.0000 0.0000  6 Hf 2.55
Hf 0.0000 0.0000 0.5000  2 La 2.55
Hf 0.0000 0.5000 0.0000  2 La 2.55
Hf 0.5000 0.0000 0.0000  2 La 2.55
B 0.5000 0.5000 0.5000  12 Hf 3.61

Q: Which value of energy does entry 2 give?
A: -5.073 eV per atom

Q: Which value of energy does entry 2 give?
A: -5.073 eV per atom

Q: The highest energy belongs to which entry?
A: AcSm3

Repeat the first record exactly.
A plane-wave DFT calculation with PBE was carried out for AcSm3 after structural relaxation.

Summary:
space group	P2_1/m, No. 11
energy	-4.440	eV per atom

a = 6.8948 Å, b = 3.6257 Å, c = 11.8003 Å
α = 90.00°, β = 91.80°, γ = 90.00°
Closest atoms and distances in Å follow each position.
Positions (direct):
Ac 0.1127 0.2500 0.1270  7 Sm 3.57-3.92, 4 Ac 3.63-3.79
Ac 0.8873 0.7500 0.8730  7 Sm 3.57-3.92, 4 Ac 3.63-3.79
Sm 0.1376 0.7500 0.6111  8 Sm 3.36-3.67, 1 Ac 3.59
Sm 0.3753 0.2500 0.3928  8 Sm 3.36-3.63, 1 Ac 3.57
Sm 0.3902 0.2500 0.8591  8 Sm 3.63-4.04, 5 Ac 3.75-3.92
Sm 0.6098 0.7500 0.1409  8 Sm 3.63-4.04, 5 Ac 3.75-3.92
Sm 0.6247 0.7500 0.6072  8 Sm 3.36-3.63, 1 Ac 3.57
Sm 0.8624 0.2500 0.3889  8 Sm 3.36-3.67, 1 Ac 3.59